No. 1
Na2PdAu2 after structural relaxation, computed with PBE-GGA.

POSCAR file:
```
Na2PdAu2
1.0
6.946 0.000 0.000
0.000 6.946 0.000
0.000 0.000 4.501
Na Pd Au
4 2 4
Cartesian
1.195 2.278 0.000
2.278 5.751 0.000
4.668 1.195 0.000
5.751 4.668 0.000
0.000 0.000 2.250
3.473 3.473 2.250
0.967 4.440 2.250
2.506 0.967 2.250
4.440 5.979 2.250
5.979 2.506 2.250
```

Computed properties:
* DFT formation energy: -18.61 kJ per mole of atoms
* uncorrected energy: -15.35 eV per formula unit
* energy above the most stable polymorph in this dataset: 59 meV/atom
* DOS(E_F): 0.941 states/eV/f.u.



No. 2
Na5PdAu2 after structural relaxation, computed with PBE-GGA.

POSCAR file:
```
Na5PdAu2
1.0
4.960 0.000 0.000
-2.480 4.295 0.000
0.000 0.000 19.201
Na Pd Au
10 2 4
Cartesian
0.000 0.000 3.114
0.000 0.000 6.487
0.000 0.000 12.714
0.000 0.000 16.087
0.000 2.863 0.950
0.000 2.863 4.800
0.000 2.863 8.651
2.480 1.432 10.550
2.480 1.432 14.401
2.480 1.432 18.251
0.000 2.863 14.401
2.480 1.432 4.800
0.000 2.863 11.702
0.000 2.863 17.100
2.480 1.432 2.101
2.480 1.432 7.499
```

Computed properties:
* DFT formation energy: -18.23 kJ per mole of atoms
* uncorrected energy: -19.85 eV per formula unit
* DOS(E_F): 2.432 states/eV/f.u.



No. 3
NaPmPdAu after structural relaxation, computed with PBE-GGA.

POSCAR file:
```
NaPmPdAu
1.0
0.000 3.547 3.547
3.547 0.000 3.547
3.547 3.547 0.000
Na Pm Pd Au
1 1 1 1
Cartesian
0.000 0.000 0.000
3.547 3.547 3.547
1.774 1.774 1.774
5.321 5.321 5.321
```

Computed properties:
* DFT formation energy: -50.73 kJ per mole of atoms
* uncorrected energy: -16.64 eV per formula unit
* DOS(E_F): 2.522 states/eV/f.u.



No. 4
NaPuPdAu after structural relaxation, computed with PBE-GGA.

POSCAR file:
```
NaPuPdAu
1.0
0.000 3.526 3.526
3.526 0.000 3.526
3.526 3.526 0.000
Na Pu Pd Au
1 1 1 1
Cartesian
0.000 0.000 0.000
3.526 3.526 3.526
5.289 5.289 5.289
1.763 1.763 1.763
```

Computed properties:
* DFT formation energy: -24.59 kJ per mole of atoms
* uncorrected energy: -25.14 eV per formula unit
* DOS(E_F): 13.398 states/eV/f.u.



No. 5
Rb2Na6PdAu after structural relaxation, computed with PBE-GGA.

POSCAR file:
```
Rb2Na6PdAu
1.0
0.000 5.796 5.796
5.796 0.000 5.796
5.796 5.796 0.000
Rb Na Pd Au
2 6 1 1
Cartesian
2.898 2.898 2.898
8.694 8.694 8.694
5.796 5.796 2.843
5.796 2.843 5.796
8.748 5.796 5.796
2.843 5.796 5.796
5.796 8.748 5.796
5.796 5.796 8.748
0.000 0.000 0.000
5.796 5.796 5.796
```

Computed properties:
* DFT formation energy: -4.09 kJ per mole of atoms
* uncorrected energy: -18.74 eV per formula unit
* DOS(E_F): 4.105 states/eV/f.u.



No. 6
NaPdAu2S after structural relaxation, computed with PBE-GGA.

POSCAR file:
```
NaPdAu2S
1.0
5.048 0.000 0.000
0.000 5.048 0.000
0.000 0.000 5.059
Na Pd Au S
1 1 2 1
Cartesian
0.000 0.000 0.000
0.000 0.000 2.529
0.000 2.524 2.529
2.524 0.000 2.529
2.524 2.524 0.000
```

Computed properties:
* formation energy (no corrections): 698 meV per atom
* uncorrected energy: -13.71 eV per formula unit
* DOS(E_F): 5.652 states/eV/f.u.



No. 7
NaPdAuS2 after structural relaxation, computed with PBE-GGA.

POSCAR file:
```
NaPdAuS2
1.0
6.177 0.000 0.000
0.000 4.797 0.000
-1.561 0.000 7.056
Na Pd Au S
2 2 2 4
Cartesian
-0.390 0.694 1.764
-1.171 4.103 5.292
2.698 2.374 1.764
1.918 2.423 5.292
3.088 0.000 0.000
2.308 0.000 3.528
0.045 1.834 6.736
0.826 2.963 3.208
3.790 1.834 3.848
4.571 2.963 0.320
```

Computed properties:
* formation energy (no corrections): -398 meV per atom
* uncorrected energy: -20.03 eV per formula unit
* DOS(E_F): 0.937 states/eV/f.u.



No. 8
Na2Sb2Pd2Au after structural relaxation, computed with PBE-GGA.

POSCAR file:
```
Na2Sb2Pd2Au
1.0
4.893 0.000 0.000
-2.443 5.018 0.000
-0.012 -0.959 6.206
Na Sb Pd Au
2 2 2 1
Cartesian
-0.002 0.267 1.704
2.440 3.792 4.502
-0.004 1.863 4.558
2.442 2.196 1.648
-0.005 3.287 2.278
2.443 0.772 3.928
2.446 0.000 0.000
```

Computed properties:
* formation energy (no corrections): -321 meV per atom
* uncorrected energy: -26.79 eV per formula unit
* DOS(E_F): 2.269 states/eV/f.u.



No. 9
NaScPdAu after structural relaxation, computed with PBE-GGA.

POSCAR file:
```
NaScPdAu
1.0
0.000 3.354 3.354
3.354 0.000 3.354
3.354 3.354 0.000
Na Sc Pd Au
1 1 1 1
Cartesian
0.000 0.000 0.000
3.354 3.354 3.354
5.031 5.031 5.031
1.677 1.677 1.677
```

Computed properties:
* DFT formation energy: -46.96 kJ per mole of atoms
* uncorrected energy: -18.07 eV per formula unit
* DOS(E_F): 2.544 states/eV/f.u.



No. 10
NaPdAuSe2 after structural relaxation, computed with PBE-GGA.

POSCAR file:
```
NaPdAuSe2
1.0
6.411 0.000 0.000
0.000 4.833 0.000
-1.653 0.000 7.362
Na Pd Au Se
2 2 2 4
Cartesian
-0.413 0.528 1.841
-1.240 4.305 5.522
2.792 2.398 1.841
1.965 2.435 5.522
3.205 0.000 0.000
2.379 0.000 3.681
-0.038 1.925 7.015
0.789 2.908 3.333
3.969 1.925 4.029
4.796 2.908 0.348
```

Computed properties:
* formation energy (no corrections): -405 meV per atom
* uncorrected energy: -18.78 eV per formula unit
* energy above the most stable polymorph in this dataset: 0 meV/atom
* DOS(E_F): 1.303 states/eV/f.u.



No. 11
NaPdAuSe2 after structural relaxation, computed with PBE-GGA.

POSCAR file:
```
NaPdAuSe2
1.0
5.066 0.000 0.000
0.000 5.066 0.000
0.000 0.000 5.126
Na Pd Au Se
1 1 1 2
Cartesian
0.000 0.000 0.000
2.533 2.533 0.000
0.000 0.000 2.563
0.000 2.533 2.563
2.533 0.000 2.563
```

Computed properties:
* formation energy (no corrections): 386 meV per atom
* uncorrected energy: -14.83 eV per formula unit
* energy above the most stable polymorph in this dataset: 791 meV/atom
* DOS(E_F): 3.666 states/eV/f.u.



No. 12
NaSiPdAu2 after structural relaxation, computed with PBE-GGA.

POSCAR file:
```
NaSiPdAu2
1.0
4.802 0.000 0.000
0.000 4.802 0.000
0.000 0.000 4.660
Na Si Pd Au
1 1 1 2
Cartesian
0.000 0.000 0.000
2.401 2.401 2.330
2.401 2.401 0.000
0.000 2.401 2.330
2.401 0.000 2.330
```

Computed properties:
* formation energy (no corrections): -153 meV per atom
* uncorrected energy: -19.26 eV per formula unit
* DOS(E_F): 1.911 states/eV/f.u.



No. 13
NaSmPdAu after structural relaxation, computed with PBE-GGA.

POSCAR file:
```
NaSmPdAu
1.0
0.000 3.534 3.534
3.534 0.000 3.534
3.534 3.534 0.000
Na Sm Pd Au
1 1 1 1
Cartesian
0.000 0.000 0.000
3.534 3.534 3.534
5.301 5.301 5.301
1.767 1.767 1.767
```

Computed properties:
* DFT formation energy: -51.18 kJ per mole of atoms
* uncorrected energy: -16.63 eV per formula unit
* DOS(E_F): 2.477 states/eV/f.u.



No. 14
Na2SnPd5Au2 after structural relaxation, computed with PBE-GGA.

POSCAR file:
```
Na2SnPd5Au2
1.0
9.589 0.000 0.000
0.000 9.589 0.000
0.000 0.000 4.095
Na Sn Pd Au
4 2 10 4
Cartesian
1.616 3.178 0.000
3.178 7.973 0.000
6.411 1.616 0.000
7.973 6.411 0.000
0.000 0.000 0.000
4.795 4.795 0.000
0.000 4.795 2.048
0.599 7.720 2.048
1.869 0.599 2.048
2.925 5.393 2.048
4.196 2.925 2.048
4.795 0.000 2.048
5.393 6.664 2.048
6.664 4.196 2.048
7.720 8.991 2.048
8.991 1.869 2.048
1.242 6.037 0.000
3.552 1.242 0.000
6.037 8.347 0.000
8.347 3.552 0.000
```

Computed properties:
* DFT formation energy: -23.14 kJ per mole of atoms
* uncorrected energy: -41.56 eV per formula unit
* DOS(E_F): 4.373 states/eV/f.u.



No. 15
NaSr2PdAu after structural relaxation, computed with PBE-GGA.

POSCAR file:
```
NaSr2PdAu
1.0
5.771 0.000 0.000
0.000 5.771 0.000
0.000 0.000 5.238
Na Sr Pd Au
1 2 1 1
Cartesian
0.000 0.000 0.000
0.000 2.885 2.619
2.885 0.000 2.619
0.000 0.000 2.619
2.885 2.885 0.000
```

Computed properties:
* DFT formation energy: -21.05 kJ per mole of atoms
* uncorrected energy: -14.24 eV per formula unit
* DOS(E_F): 2.927 states/eV/f.u.



No. 16
NaTl2PdAu after structural relaxation, computed with PBE-GGA.

POSCAR file:
```
NaTl2PdAu
1.0
5.393 0.000 0.000
0.000 5.393 0.000
0.000 0.000 5.284
Na Tl Pd Au
1 2 1 1
Cartesian
0.000 0.000 0.000
0.000 2.696 2.642
2.696 0.000 2.642
2.696 2.696 0.000
0.000 0.000 2.642
```

Computed properties:
* DFT formation energy: 33.01 kJ per mole of atoms
* uncorrected energy: -12.81 eV per formula unit
* energy above the most stable polymorph in this dataset: 343 meV/atom
* DOS(E_F): 2.134 states/eV/f.u.



No. 17
Na2TlPd5Au2 after structural relaxation, computed with PBE-GGA.

POSCAR file:
```
Na2TlPd5Au2
1.0
9.424 0.000 0.000
0.000 9.424 0.000
0.000 0.000 4.267
Na Tl Pd Au
4 2 10 4
Cartesian
1.612 3.100 0.000
3.100 7.812 0.000
6.324 1.612 0.000
7.812 6.324 0.000
0.000 0.000 0.000
4.712 4.712 0.000
0.000 4.712 2.133
0.630 7.536 2.133
1.888 0.630 2.133
2.824 5.342 2.133
4.082 2.824 2.133
4.712 0.000 2.133
5.342 6.600 2.133
6.600 4.082 2.133
7.536 8.794 2.133
8.794 1.888 2.133
1.185 5.897 0.000
3.527 1.185 0.000
5.897 8.239 0.000
8.239 3.527 0.000
```

Computed properties:
* DFT formation energy: -15.42 kJ per mole of atoms
* uncorrected energy: -39.12 eV per formula unit
* DOS(E_F): 4.182 states/eV/f.u.



No. 18
NaTl2PdAu after structural relaxation, computed with PBE-GGA.

POSCAR file:
```
NaTl2PdAu
1.0
5.253 0.000 0.000
0.000 5.253 0.000
0.000 0.000 5.347
Na Tl Pd Au
1 2 1 1
Cartesian
0.000 0.000 0.000
0.000 2.626 2.674
2.626 0.000 2.674
2.626 2.626 2.674
2.626 2.626 0.000
```

Computed properties:
* DFT formation energy: -0.06 kJ per mole of atoms
* uncorrected energy: -14.53 eV per formula unit
* energy above the most stable polymorph in this dataset: 0 meV/atom
* DOS(E_F): 2.348 states/eV/f.u.



No. 19
NaTlPdAu after structural relaxation, computed with PBE-GGA.

POSCAR file:
```
NaTlPdAu
1.0
0.000 3.415 3.415
3.415 0.000 3.415
3.415 3.415 0.000
Na Tl Pd Au
1 1 1 1
Cartesian
0.000 0.000 0.000
5.122 5.122 5.122
3.415 3.415 3.415
1.707 1.707 1.707
```

Computed properties:
* DFT formation energy: -16.14 kJ per mole of atoms
* uncorrected energy: -12.82 eV per formula unit
* DOS(E_F): 0.638 states/eV/f.u.



No. 20
NaVPdAu2 after structural relaxation, computed with PBE-GGA.

POSCAR file:
```
NaVPdAu2
1.0
5.194 0.000 0.000
0.000 5.194 0.000
0.000 0.000 4.614
Na V Pd Au
1 1 1 2
Cartesian
0.000 0.000 0.000
2.597 2.597 0.000
2.597 2.597 2.307
0.000 2.597 2.307
2.597 0.000 2.307
```

Computed properties:
* DFT formation energy: 42.93 kJ per mole of atoms
* uncorrected energy: -19.96 eV per formula unit
* DOS(E_F): 3.177 states/eV/f.u.